[1]
Material: RbBi2O6
Method: DFT, PBE
State: optimized geometry

POSCAR file:
```
RbBi2O6
1.0
-1.365 -0.301 2.783
6.324 -0.606 3.036
-2.947 6.349 -0.759
Rb Bi O
1 2 6
direct
0.500 0.000 0.000
0.258 0.667 0.333
0.742 0.333 0.667
0.241 0.566 0.691
0.241 0.125 0.434
0.241 0.309 0.875
0.759 0.434 0.309
0.759 0.875 0.566
0.759 0.691 0.125
```

energy: -4.89 eV/atom
magnetization: 0.12 μB/atom
formation energy from raw total energies: -5.56 eV per formula unit
Fermi-level density of states: 0.69 states/eV/atom

***

[2]
Material: KYNi2
Method: DFT, PBE
State: optimized geometry

POSCAR file:
```
KYNi2
1.0
-1.000 -4.659 0.391
-0.101 -2.070 4.308
-4.165 -1.401 1.882
K Ni Y
1 2 1
direct
0.500 0.500 0.500
0.000 0.000 0.000
0.250 0.250 0.250
0.750 0.750 0.750
```

energy: -4.17 eV/atom
energy of formation from the pure elements: 0.61 eV per atom
relative energy among the computed polymorphs: 581.1 meV/atom
magnetization: 0.00 μB/atom
Fermi-level density of states: 0.63 states/eV/atom

***

[3]
Material: Ac3YTl2
Method: DFT, PBE
State: optimized geometry

POSCAR file:
```
Ac3YTl2
1.0
7.123 0.000 0.000
0.000 7.119 0.000
-3.561 -3.560 8.777
Ac Y Tl
6 2 4
direct
0.429 0.678 0.356
0.571 0.322 0.644
0.073 0.822 0.644
0.927 0.178 0.356
0.500 0.750 0.000
0.500 0.250 0.000
0.000 0.250 0.000
0.000 0.750 0.000
0.360 0.129 0.258
0.640 0.871 0.742
0.102 0.371 0.742
0.898 0.629 0.258
```

energy: -4.14 eV/atom
energy of formation from the pure elements: -0.22 eV per atom
magnetization: 0.16 μB/atom
Fermi-level density of states: 1.27 states/eV/atom

***

[4]
Material: LiRu2W
Method: DFT, PBE
State: optimized geometry

POSCAR file:
```
LiRu2W
1.0
6.765 0.000 0.000
0.000 6.765 0.000
3.382 3.382 2.760
Ru W Li
4 2 2
direct
0.642 0.125 0.250
0.108 0.625 0.250
0.375 0.358 0.750
0.875 0.892 0.750
0.000 0.000 0.000
0.750 0.250 0.500
0.500 0.500 0.000
0.250 0.750 0.500
```

energy: -7.73 eV/atom
energy of formation from the pure elements: 0.62 eV per atom
relative energy among the computed polymorphs: 677.8 meV/atom
magnetization: 0.00 μB/atom
Fermi-level density of states: 1.02 states/eV/atom

***

What did the second record say?
Material: KYNi2
Method: DFT, PBE
State: optimized geometry

POSCAR file:
```
KYNi2
1.0
-1.000 -4.659 0.391
-0.101 -2.070 4.308
-4.165 -1.401 1.882
K Ni Y
1 2 1
direct
0.500 0.500 0.500
0.000 0.000 0.000
0.250 0.250 0.250
0.750 0.750 0.750
```

energy: -4.17 eV/atom
energy of formation from the pure elements: 0.61 eV per atom
relative energy among the computed polymorphs: 581.1 meV/atom
magnetization: 0.00 μB/atom
Fermi-level density of states: 0.63 states/eV/atom